No. 1
Here is a geometry-optimized HoNbIrRh structure from the Alexandria database. Energies are from PBE-GGA.

Crystal system: cubic
ΔH_f (0 K): -0.481 eV/atom

a b c (Å): 4.6700 4.6700 4.6700
angles (deg): 60.00 60.00 60.00
Element x y z (fractional)
1 Nb 0.2500 0.2500 0.2500
2 Ir 0.0000 0.0000 0.0000
3 Rh 0.5000 0.5000 0.5000
4 Ho 0.7500 0.7500 0.7500

=====

No. 2
Here is a geometry-optimized HoNbIrRu structure from the Alexandria database. Energies are from PBE-GGA.

Crystal system: cubic
ΔH_f (0 K): -0.381 eV/atom

a b c (Å): 4.6484 4.6484 4.6484
angles (deg): 60.00 60.00 60.00
Element x y z (fractional)
1 Ru 0.7500 0.7500 0.7500
2 Nb 0.0000 0.0000 0.0000
3 Ir 0.2500 0.2500 0.2500
4 Ho 0.5000 0.5000 0.5000

=====

No. 3
Here is a geometry-optimized NdHo3Ir2 structure from the Alexandria database. Energies are from PBE-GGA.

Crystal system: monoclinic
ΔH_f (0 K): -0.562 eV/atom

a b c (Å): 5.0498 10.6301 8.1969
angles (deg): 133.96 90.00 103.74
Element x y z (fractional)
1 Nd 0.8453 0.6906 0.9923
2 Nd 0.1547 0.3094 0.0077
3 Ho 0.3256 0.6512 0.6687
4 Ho 0.9303 0.8607 0.6876
5 Ho 0.6150 0.2299 0.6664
6 Ho 0.3850 0.7701 0.3336
7 Ho 0.0697 0.1393 0.3124
8 Ho 0.6744 0.3488 0.3313
9 Ir 0.5238 0.0476 0.8291
10 Ir 0.4762 0.9524 0.1709
11 Ir 0.7733 0.5467 0.2063
12 Ir 0.2267 0.4533 0.7937

=====

No. 4
Here is a geometry-optimized Nd2HoIr9 structure from the Alexandria database. Energies are from PBE-GGA.

Crystal system: trigonal
ΔH_f (0 K): -0.518 eV/atom

a b c (Å): 5.3428 5.3428 9.4046
angles (deg): 73.50 73.50 60.00
Element x y z (fractional)
1 Nd 0.8608 0.8608 0.4178
2 Nd 0.1393 0.1393 0.5822
3 Ho 0.0000 0.0000 0.0000
4 Ir 0.6678 0.6678 0.9966
5 Ir 0.3322 0.3322 0.0034
6 Ir 0.5000 0.5000 0.5000
7 Ir 0.4210 0.4210 0.2415
8 Ir 0.9166 0.4210 0.2415
9 Ir 0.4210 0.9166 0.2415
10 Ir 0.5790 0.5790 0.7585
11 Ir 0.5790 0.0834 0.7585
12 Ir 0.0834 0.5790 0.7585

=====

No. 5
Here is a geometry-optimized Nd5HoIr4 structure from the Alexandria database. Energies are from PBE-GGA.

Crystal system: monoclinic
ΔH_f (0 K): -0.545 eV/atom

a b c (Å): 4.3015 7.5824 9.5976
angles (deg): 113.38 102.95 90.00
Element x y z (fractional)
1 Nd 0.8356 0.5925 0.6712
2 Nd 0.8355 0.0788 0.6710
3 Nd 0.1645 0.9212 0.3290
4 Nd 0.5000 0.5000 0.0000
5 Nd 0.1644 0.4075 0.3288
6 Ho 0.5000 0.0000 0.0000
7 Ir 0.3023 0.8024 0.6047
8 Ir 0.0000 0.7568 0.0001
9 Ir 0.6977 0.1976 0.3953
10 Ir 0.0000 0.2432 0.9999

=====

No. 6
Here is a geometry-optimized Nd2Ho2Ir3 structure from the Alexandria database. Energies are from PBE-GGA.

Polymorph energy (0 for the lowest one): 125 meV per atom
Crystal system: triclinic
ΔH_f (0 K): -0.613 eV/atom

a b c (Å): 4.4558 6.0001 7.4995
angles (deg): 98.35 89.93 111.82
Element x y z (fractional)
1 Nd 0.8649 0.7284 0.6446
2 Nd 0.1351 0.2716 0.3554
3 Ho 0.6401 0.2802 0.9390
4 Ho 0.3599 0.7198 0.0610
5 Ir 0.0000 0.0000 0.0000
6 Ir 0.8100 0.6206 0.2616
7 Ir 0.1900 0.3794 0.7384

=====

No. 7
Here is a geometry-optimized NdHoIr structure from the Alexandria database. Energies are from PBE-GGA.

Polymorph energy (0 for the lowest one): 6 meV per atom
Crystal system: orthorhombic
ΔH_f (0 K): -0.624 eV/atom

a b c (Å): 7.5220 9.2679 8.8258
angles (deg): 121.67 115.22 90.00
Element x y z (fractional)
1 Nd 0.7528 0.0449 0.5898
2 Nd 0.1630 0.9551 0.4102
3 Nd 0.3433 0.7501 0.0001
4 Nd 0.3432 0.2499 0.9999
5 Nd 0.1632 0.4550 0.4101
6 Nd 0.7531 0.5450 0.5899
7 Ho 0.0131 0.0000 0.0000
8 Ho 0.0131 0.5000 0.0000
9 Ho 0.4938 0.3703 0.7404
10 Ho 0.7534 0.6297 0.2596
11 Ho 0.7534 0.1299 0.2596
12 Ho 0.4938 0.8701 0.7404
13 Ir 0.7530 0.2499 0.9999
14 Ir 0.7531 0.7501 0.0001
15 Ir 0.4202 0.1667 0.3332
16 Ir 0.0870 0.8333 0.6668
17 Ir 0.0870 0.3335 0.6668
18 Ir 0.4202 0.6665 0.3332

=====

No. 8
Here is a geometry-optimized Nd3HoIr2 structure from the Alexandria database. Energies are from PBE-GGA.

Crystal system: monoclinic
ΔH_f (0 K): -0.580 eV/atom

a b c (Å): 4.3709 8.5512 10.7323
angles (deg): 68.72 78.25 75.19
Element x y z (fractional)
1 Nd 0.0516 0.1228 0.7740
2 Nd 0.9484 0.8772 0.2260
3 Nd 0.6639 0.6910 0.9813
4 Nd 0.3361 0.3090 0.0187
5 Nd 0.7872 0.8264 0.5992
6 Nd 0.2128 0.1736 0.4008
7 Ho 0.4274 0.4835 0.6617
8 Ho 0.5726 0.5165 0.3383
9 Ir 0.8608 0.4461 0.8324
10 Ir 0.1392 0.5539 0.1676
11 Ir 0.6158 0.1920 0.5763
12 Ir 0.3842 0.8080 0.4237

=====

| no. | total magnetization (μB/f.u.) | DOS(E_F) (states/eV/f.u.) |
| --- | --- | --- |
| 1 | 0.00 | 4.912 |
| 2 | 0.00 | 4.681 |
| 3 | 0.00 | 3.769 |
| 4 | 0.00 | 10.963 |
| 5 | 0.00 | 5.868 |
| 6 | 0.00 | 2.943 |
| 7 | 0.00 | 3.370 |
| 8 | 0.00 | 4.775 |